1.
TlAsBr2 | PBE | relaxed

Unit cell a=7.9421 b=7.9421 c=3.7440 alpha=91.62 beta=91.62 gamma=31.40
Closest atoms and distances in Å follow each position.
Fractional coordinates of all 4 atoms:
Tl (0.0000, 0.0000, 0.0000)  4 Br 3.18, 2 As 3.20-3.22
As (0.1705, 0.1705, 0.5233)  4 Br 2.86, 1 Tl 3.20
Br (0.4081, 0.4081, 0.4882)  4 Tl 3.18
Br (0.6885, 0.6885, 0.0249)  4 As 2.86

Its raw formation energy is -98 meV/atom. The crystal system is monoclinic. Its symmetry is Cm, No. 8. The energy relative to the lowest polymorph listed for this composition is 164 meV/atom. The electronic total energy comes out at -10.75 eV per cell.


2.
KPtW2 | PBE | relaxed

Unit cell a=4.6015 b=4.6015 c=4.6015 alpha=60.00 beta=60.00 gamma=60.00
Closest atoms and distances in Å follow each position.
Fractional coordinates of all 4 atoms:
K (0.0000, 0.0000, 0.0000)  8 W 2.82
Pt (0.5000, 0.5000, 0.5000)  8 W 2.82
W (0.2500, 0.2500, 0.2500)  4 K 2.82, 4 Pt 2.82
W (0.7500, 0.7500, 0.7500)  4 K 2.82, 4 Pt 2.82

The crystal system is cubic. The formation energy comes out at 1.598 eV/atom. Its symmetry is Fm-3m, No. 225. The energy relative to the lowest polymorph listed for this composition is 1085 meV/atom. The electronic total energy comes out at -26.65 eV per cell.